BeAlVO4 (GGA+U, relaxed); raw total energy = -104.80 eV/cell; space group = Cmcm (63); ρ = 3.757 g cm⁻³
1.0
4.958 0.091 0.000
-1.908 4.577 0.000
0.000 0.000 5.835
Be Al V O
2 2 2 8
Cartesian
-0.850 3.886 1.459
3.900 0.782 4.377
3.936 0.759 1.459
-0.886 3.909 4.377
1.525 2.334 2.918
1.525 2.334 0.000
0.642 1.111 4.377
2.290 3.634 4.377
3.197 1.241 5.755
3.197 1.241 2.998
-0.148 3.427 0.080
-0.148 3.427 2.838
2.408 3.557 1.459
0.760 1.034 1.459